{"formula": "KTiS2", "functional": "PBE", "state": "optimized geometry", "crystal_system": "cubic", "cell": [[0.000, 3.361, 3.361], [3.361, 0.000, 3.361], [3.361, 3.361, 0.000]], "species": ["S", "Ti", "S", "K"], "fractional_positions": [[0.250, 0.250, 0.250], [0.500, 0.500, 0.500], [0.750, 0.750, 0.750], [0.000, 0.000, 0.000]]}

{"formula": "K4TiS4", "functional": "PBE", "state": "optimized geometry", "crystal_system": "tetragonal", "cell": [[6.964, 0.000, 0.000], [0.000, 8.876, 0.000], [0.000, 0.000, 8.876]], "species": ["K", "K", "S", "S", "S", "K", "K", "K", "K", "Ti", "S", "S", "S", "K", "Ti", "K", "S", "S"], "fractional_positions": [[0.147, 0.223, 0.500], [0.853, 0.500, 0.223], [0.313, 0.500, 0.289], [0.187, 0.000, 0.789], [0.687, 0.711, 0.500], [0.647, 0.000, 0.723], [0.853, 0.500, 0.777], [0.647, 0.000, 0.277], [0.147, 0.777, 0.500], [0.500, 0.500, 0.500], [0.187, 0.000, 0.211], [0.813, 0.211, 0.000], [0.813, 0.789, 0.000], [0.353, 0.277, 0.000], [0.000, 0.000, 0.000], [0.353, 0.723, 0.000], [0.687, 0.289, 0.500], [0.313, 0.500, 0.711]]}

In the order shown, the computed formation energy (no corrections) values come out to -0.55 -1.34 eV per atom.
In the order shown, the computed E values come out to -19.46 -81.67 eV for the cell shown.